DFT (PBE) results for a geometry-optimized AcFeC structure.

abc: 11.500 5.404 3.706
angles: 90.00 104.64 90.00
Space group C2/m (No. 12)
Asymmetric unit:
1 Ac 0.153 0.000 0.335 (multiplicity 4)
2 Fe 0.073 0.500 0.807 (multiplicity 4)
3 C 0.098 0.500 0.328 (multiplicity 4)

Values from the calculation:
As for the density of states at the Fermi level: 0.67 states/eV/atom. The relative energy among the computed polymorphs is 0.000 eV per atom. The energy relative to the elements comes out at -0.0521 eV per atom. The calculation puts the total energy at -22.0 eV/f.u.